{"formula": "Ag2SbBr", "functional": "PBE-GGA", "state": "relaxed", "magmom_total_mub_per_cell": 0.000, "total_energy_ev_per_atom": -2.81, "space_group": "P4/mmm (123)", "lattice_angstrom": [[-1.7699, -0.7986, -2.8206], [-2.5652, -1.1762, 1.9427], [-3.2526, 7.1304, 0.0222]], "species": ["Ag", "Ag", "Br", "Sb"], "frac_coords": [[0.0000, 0.0000, 0.5055], [0.0000, 0.0000, 0.9945], [0.5000, 0.5000, 0.2500], [0.5000, 0.5000, 0.7500]]}

=====

{"formula": "AgSbBr", "functional": "PBE-GGA", "state": "relaxed", "magmom_total_mub_per_cell": 0.000, "total_energy_ev_per_atom": -2.98, "space_group": "P2_1/m (11)", "lattice_angstrom": [[-0.0522, 3.0403, 1.6724], [-9.0278, -4.5091, 7.6851], [2.9608, -1.4077, 2.6519]], "species": ["Ag", "Ag", "Sb", "Sb", "Br", "Br"], "frac_coords": [[0.9530, 0.6513, 0.3166], [0.9591, 0.2546, 0.8171], [0.9596, 0.0296, 0.8164], [0.9506, 0.8763, 0.3163], [0.4505, 0.6022, 0.8166], [0.4615, 0.3038, 0.3171]]}

=====

{"formula": "Ag2Sb2Br", "functional": "PBE-GGA", "state": "relaxed", "magmom_total_mub_per_cell": 0.000, "total_energy_ev_per_atom": -3.01, "space_group": "P4/mbm (127)", "lattice_angstrom": [[-8.1466, 2.4227, -0.4091], [0.0281, -1.3250, -8.4052], [-0.9748, -3.1933, 0.5001]], "species": ["Ag", "Ag", "Ag", "Ag", "Sb", "Sb", "Sb", "Sb", "Br", "Br"], "frac_coords": [[0.8792, 0.3792, 0.5000], [0.3792, 0.1208, 0.5000], [0.6208, 0.8792, 0.5000], [0.1208, 0.6208, 0.5000], [0.1787, 0.3213, 0.0000], [0.3213, 0.8213, 0.0000], [0.8213, 0.6787, 0.0000], [0.6787, 0.1787, 0.0000], [0.5000, 0.5000, 0.0000], [0.0000, 0.0000, 0.0000]]}

=====

{"formula": "Ag5Sb3Br12", "functional": "PBE-GGA", "state": "relaxed", "magmom_total_mub_per_cell": 0.000, "total_energy_ev_per_atom": -2.61, "space_group": "Ia-3d (230)", "lattice_angstrom": [[15.0327, 0.0000, 0.0000], [-5.0109, 14.1730, 0.0000], [-5.0109, -7.0865, 12.2741]], "species": ["Br", "Br", "Br", "Br", "Br", "Br", "Br", "Br", "Br", "Br", "Br", "Br", "Br", "Br", "Br", "Br", "Br", "Br", "Br", "Br", "Br", "Br", "Br", "Br", "Br", "Br", "Br", "Br", "Br", "Br", "Br", "Br", "Br", "Br", "Br", "Br", "Br", "Br", "Br", "Br", "Br", "Br", "Br", "Br", "Br", "Br", "Br", "Br", "Sb", "Sb", "Sb", "Sb", "Sb", "Sb", "Sb", "Sb", "Sb", "Sb", "Sb", "Sb", "Ag", "Ag", "Ag", "Ag", "Ag", "Ag", "Ag", "Ag", "Ag", "Ag", "Ag", "Ag", "Ag", "Ag", "Ag", "Ag", "Ag", "Ag", "Ag", "Ag"], "frac_coords": [[0.8891, 0.0555, 0.8490], [0.9600, 0.6109, 0.1664], [0.2935, 0.8490, 0.9600], [0.4445, 0.2935, 0.3336], [0.1109, 0.9445, 0.1510], [0.8336, 0.8891, 0.0400], [0.5555, 0.7065, 0.6664], [0.7065, 0.1510, 0.0400], [0.4445, 0.1510, 0.6109], [0.1664, 0.1109, 0.9600], [0.1510, 0.4445, 0.1109], [0.1664, 0.0555, 0.7065], [0.7935, 0.3336, 0.9445], [0.7065, 0.5555, 0.1664], [0.6109, 0.6510, 0.4445], [0.0555, 0.1664, 0.2065], [0.1510, 0.7065, 0.5400], [0.1109, 0.1664, 0.4600], [0.6664, 0.4600, 0.6109], [0.6109, 0.9600, 0.6664], [0.9445, 0.8336, 0.7935], [0.6510, 0.6109, 0.9445], [0.8490, 0.5555, 0.8891], [0.2065, 0.5400, 0.6510], [0.0400, 0.3891, 0.8336], [0.5555, 0.8490, 0.3891], [0.8490, 0.2935, 0.4600], [0.3336, 0.7935, 0.4445], [0.9600, 0.3490, 0.2935], [0.4600, 0.6664, 0.1109], [0.5400, 0.2065, 0.1510], [0.5400, 0.3336, 0.8891], [0.8891, 0.8336, 0.5400], [0.9445, 0.1109, 0.6510], [0.3336, 0.5400, 0.3891], [0.4600, 0.7935, 0.8490], [0.6510, 0.0400, 0.2065], [0.3891, 0.3490, 0.5555], [0.3490, 0.9600, 0.7935], [0.0555, 0.8891, 0.3490], [0.3490, 0.3891, 0.0555], [0.2065, 0.6664, 0.0555], [0.8336, 0.9445, 0.2935], [0.0400, 0.6510, 0.7065], [0.3891, 0.0400, 0.3336], [0.7935, 0.4600, 0.3490], [0.2935, 0.4445, 0.8336], [0.6664, 0.2065, 0.5555], [0.3750, 0.6250, 0.2500], [0.6250, 0.2500, 0.3750], [0.2500, 0.1250, 0.3750], [0.3750, 0.7500, 0.6250], [0.8750, 0.1250, 0.2500], [0.1250, 0.2500, 0.8750], [0.7500, 0.8750, 0.6250], [0.7500, 0.3750, 0.1250], [0.2500, 0.6250, 0.8750], [0.6250, 0.3750, 0.7500], [0.1250, 0.8750, 0.7500], [0.8750, 0.7500, 0.1250], [0.6250, 0.8750, 0.2500], [0.6250, 0.7500, 0.8750], [0.3750, 0.2500, 0.1250], [0.8750, 0.6250, 0.7500], [0.5000, 0.5000, 0.5000], [0.0000, 0.5000, 0.0000], [0.1250, 0.7500, 0.3750], [0.2500, 0.8750, 0.1250], [0.0000, 0.0000, 0.5000], [0.0000, 0.5000, 0.5000], [0.0000, 0.0000, 0.0000], [0.3750, 0.1250, 0.7500], [0.5000, 0.0000, 0.0000], [0.1250, 0.3750, 0.2500], [0.2500, 0.3750, 0.6250], [0.5000, 0.5000, 0.0000], [0.7500, 0.1250, 0.8750], [0.7500, 0.6250, 0.3750], [0.5000, 0.0000, 0.5000], [0.8750, 0.2500, 0.6250]]}

=====

{"formula": "Ag2SbBr", "functional": "PBE-GGA", "state": "relaxed", "magmom_total_mub_per_cell": 0.000, "total_energy_ev_per_atom": -2.92, "space_group": "Pm (6)", "lattice_angstrom": [[-2.6753, -1.3846, 2.0478], [1.0656, -3.3272, -0.8576], [5.3787, -2.0969, 5.6092]], "species": ["Ag", "Ag", "Sb", "Br"], "frac_coords": [[0.5000, 0.3178, 0.2190], [0.0000, 0.9347, 0.0270], [0.5000, 0.5472, 0.8414], [0.0000, 0.7003, 0.4126]]}

=====

{"formula": "Ag2SbBr", "functional": "PBE-GGA", "state": "relaxed", "magmom_total_mub_per_cell": 0.000, "total_energy_ev_per_atom": -2.89, "space_group": "Imm2 (44)", "lattice_angstrom": [[8.1111, 0.0107, -0.0194], [6.5245, 4.8188, 0.0194], [-7.2837, -2.5179, 2.5293]], "species": ["Ag", "Ag", "Br", "Sb"], "frac_coords": [[0.0531, 0.0531, 0.0000], [0.7987, 0.2987, 0.5000], [0.4481, 0.4481, 0.0000], [0.2001, 0.7001, 0.5000]]}

=====

{"formula": "AgSbBr4", "functional": "PBE-GGA", "state": "relaxed", "magmom_total_mub_per_cell": 0.662, "total_energy_ev_per_atom": -1.58, "space_group": "F-43m (216)", "lattice_angstrom": [[0.0000, 4.4159, 4.4159], [4.4159, 0.0000, 4.4159], [4.4159, 4.4159, 0.0000]], "species": ["Br", "Br", "Br", "Br", "Sb", "Ag"], "frac_coords": [[0.3743, 0.3743, 0.8772], [0.8772, 0.3743, 0.3743], [0.3743, 0.8772, 0.3743], [0.3743, 0.3743, 0.3743], [0.7500, 0.7500, 0.7500], [0.0000, 0.0000, 0.0000]]}

=====

{"formula": "AgSbBr", "functional": "PBE-GGA", "state": "relaxed", "magmom_total_mub_per_cell": 0.000, "total_energy_ev_per_atom": -2.81, "space_group": "I4mm (107)", "lattice_angstrom": [[-4.5768, 0.2705, -4.6901], [-0.0241, -0.2554, -6.5537], [2.0559, -2.4672, 5.7187]], "species": ["Br", "Sb", "Ag"], "frac_coords": [[0.3518, 0.3518, 0.0000], [0.6436, 0.6436, 0.0000], [0.0046, 0.0046, 0.0000]]}

=====

{"formula": "Ag2SbBr", "functional": "PBE-GGA", "state": "relaxed", "magmom_total_mub_per_cell": 0.000, "total_energy_ev_per_atom": -2.73, "space_group": "C2/m (12)", "lattice_angstrom": [[5.2550, 0.0534, -0.2948], [-1.6177, 5.0001, -0.2948], [0.2732, 0.3796, 3.4637]], "species": ["Br", "Sb", "Ag", "Ag"], "frac_coords": [[0.5000, 0.0000, 0.5000], [0.0000, 0.5000, 0.5000], [0.0000, 0.0000, 0.0000], [0.5000, 0.5000, 0.0000]]}

=====

{"formula": "Ag2SbBr6", "functional": "PBE-GGA", "state": "relaxed", "magmom_total_mub_per_cell": 0.000, "total_energy_ev_per_atom": -2.60, "space_group": "P2_1/c (14)", "lattice_angstrom": [[-2.1779, 6.3325, -1.8716], [1.5669, -1.3262, -6.3105], [-11.2058, -4.3675, -1.8646]], "species": ["Br", "Br", "Br", "Br", "Br", "Br", "Br", "Br", "Br", "Br", "Br", "Br", "Ag", "Ag", "Ag", "Ag", "Sb", "Sb"], "frac_coords": [[0.6728, 0.2654, 0.8336], [0.3272, 0.7346, 0.1664], [0.8281, 0.7636, 0.3344], [0.1745, 0.2579, 0.9996], [0.8255, 0.7421, 0.0004], [0.1719, 0.2364, 0.6656], [0.6719, 0.2636, 0.1656], [0.3281, 0.7364, 0.8344], [0.6745, 0.2421, 0.4996], [0.1728, 0.2346, 0.3336], [0.8272, 0.7654, 0.6664], [0.3255, 0.7579, 0.5004], [0.0005, 0.5012, 0.8285], [0.9995, 0.4988, 0.1715], [0.4995, 0.0012, 0.6715], [0.5005, 0.9988, 0.3285], [0.0000, 0.0000, 0.5000], [0.5000, 0.5000, 0.0000]]}

=====

{"formula": "AgSbBr2", "functional": "PBE-GGA", "state": "relaxed", "magmom_total_mub_per_cell": 0.000, "total_energy_ev_per_atom": -2.49, "space_group": "P4/mmm (123)", "lattice_angstrom": [[3.4243, 0.0000, 0.0000], [0.0000, 3.4243, 0.0000], [0.0000, 0.0000, 8.6765]], "species": ["Br", "Br", "Sb", "Ag"], "frac_coords": [[0.0000, 0.0000, 0.9642], [0.0000, 0.0000, 0.5358], [0.5000, 0.5000, 0.2500], [0.5000, 0.5000, 0.7500]]}

=====

{"formula": "AgSbBr", "functional": "PBE-GGA", "state": "relaxed", "magmom_total_mub_per_cell": 0.000, "total_energy_ev_per_atom": -2.85, "space_group": "P3m1 (156)", "lattice_angstrom": [[-0.1929, -3.0414, -2.2246], [2.3145, 2.8440, -0.8892], [4.6542, -2.7418, 3.3450]], "species": ["Sb", "Ag", "Br"], "frac_coords": [[0.3333, 0.6667, 0.7096], [0.0000, 0.0000, 0.0032], [0.6667, 0.3333, 0.2872]]}

=====

Uncorrected formation energy: 0.25; -0.31; 0.57; -5.41; -0.20; -0.07; 4.19; 0.21; 0.56; -3.56; 0.38; 0.11 (eV per formula unit)